[1]
SrMgAl: optimized geometry, PBE.

extended XYZ file:
```
3
Lattice="5.363 0.000 0.000 2.682 4.645 0.000 2.682 1.548 4.379" Properties=species:S:1:pos:R:3 pbc="T T T"
Al 0.000 0.000 0.000
Mg 5.363 3.096 2.189
Sr 8.045 4.645 3.284
```

Raw total energy ... -5.346 eV for the cell shown
Spin magnetization ... 0.71 Bohr magnetons per cell

[2]
Sr2MgAl: optimized geometry, PBE.

extended XYZ file:
```
4
Lattice="-6.486 1.140 2.075 -6.734 -0.545 -1.424 -2.621 -4.561 2.383" Properties=species:S:1:pos:R:3 pbc="T T T"
Mg -3.477 -1.227 0.838
Sr -12.255 -2.793 2.214
Sr -13.066 0.518 0.676
Al -8.184 -1.853 1.473
```

Raw total energy ... -8.940 eV for the cell shown
Spin magnetization ... 0.00 Bohr magnetons per cell

[3]
Sr2MgAl: optimized geometry, PBE.

extended XYZ file:
```
4
Lattice="6.126 0.003 0.000 1.842 5.843 0.000 -3.984 -2.923 3.621" Properties=species:S:1:pos:R:3 pbc="T T T"
Sr 0.000 0.000 0.000
Sr 0.921 2.921 1.811
Mg 3.063 0.002 1.811
Al 3.984 2.923 0.000
```

Raw total energy ... -8.431 eV for the cell shown
Spin magnetization ... 0.00 Bohr magnetons per cell

[4]
SrMg9Al2: optimized geometry, PBE.

extended XYZ file:
```
24
Lattice="7.055 0.000 3.248 3.528 8.629 1.624 -0.081 0.000 9.463" Properties=species:S:1:pos:R:3 pbc="T T T"
Mg 3.709 7.961 4.779
Mg 4.500 3.646 9.893
Mg 4.540 0.669 5.162
Mg 7.015 4.315 7.980
Mg 7.196 4.983 11.135
Mg 0.000 0.000 0.000
Mg 6.833 4.983 4.824
Mg 1.547 2.790 9.476
Mg 1.587 1.524 4.745
Mg 5.387 1.524 7.966
Mg 5.946 7.105 6.751
Mg 2.378 5.839 9.859
Mg 2.475 3.646 2.818
Mg 3.265 7.961 7.932
Mg 8.084 7.105 9.208
Mg 2.434 0.669 7.549
Mg 4.596 5.839 2.852
Mg 5.428 2.790 3.235
Sr 3.528 0.000 1.624
Sr 3.487 4.315 6.355
Al 5.231 6.472 9.533
Al 8.799 6.472 6.426
Al 7.035 2.157 5.614
Al 6.995 2.157 10.345
```

Raw total energy ... -48.328 eV for the cell shown
Spin magnetization ... 0.00 Bohr magnetons per cell

[5]
SrMgAl: optimized geometry, PBE.

extended XYZ file:
```
12
Lattice="-4.437 -4.118 -0.495 2.864 -2.803 -2.355 4.214 -4.562 10.555" Properties=species:S:1:pos:R:3 pbc="T T T"
Sr 1.525 -4.546 2.679
Sr 2.199 -5.426 9.134
Sr -1.751 -5.571 4.502
Sr 1.788 -9.253 8.602
Mg -0.470 -6.767 7.484
Mg -1.144 -5.887 1.029
Mg 0.276 -1.155 1.710
Mg 3.815 -4.837 5.810
Al 1.661 -6.819 5.549
Al 0.904 -4.181 6.077
Al 0.229 -3.302 -0.378
Al -1.878 -3.136 1.449
```

Raw total energy ... -29.312 eV for the cell shown
Spin magnetization ... 0.00 Bohr magnetons per cell

[6]
Sr2MgAl: optimized geometry, PBE.

extended XYZ file:
```
4
Lattice="5.616 0.000 0.000 2.808 4.864 0.000 2.808 1.621 4.585" Properties=species:S:1:pos:R:3 pbc="T T T"
Sr 2.808 1.621 1.146
Sr 0.000 0.000 0.000
Mg 8.424 4.864 3.439
Al 5.616 3.242 2.293
```

Raw total energy ... -8.388 eV for the cell shown
Spin magnetization ... 0.00 Bohr magnetons per cell

[7]
SrMg14Al: optimized geometry, PBE.

extended XYZ file:
```
16
Lattice="3.218 -5.777 0.000 3.218 5.777 0.000 0.000 0.000 10.392" Properties=species:S:1:pos:R:3 pbc="T T T"
Mg 3.218 -2.016 7.608
Mg 1.584 0.918 7.854
Mg 3.218 1.928 0.000
Mg 4.786 -0.960 0.000
Mg 4.876 -0.831 5.196
Mg 4.852 0.918 7.854
Mg 3.218 3.890 2.470
Mg 1.560 -0.831 5.196
Mg 1.650 -0.960 0.000
Mg 3.218 -3.808 0.000
Mg 3.218 -2.016 2.783
Mg 1.584 0.918 2.538
Mg 4.852 0.918 2.538
Mg 3.218 3.890 7.921
Sr 3.218 2.046 5.196
Al 3.218 -4.006 5.196
```

Raw total energy ... -27.232 eV for the cell shown
Spin magnetization ... 0.00 Bohr magnetons per cell

[8]
Sr2Mg17Al3: optimized geometry, PBE.

extended XYZ file:
```
22
Lattice="8.358 0.010 0.907 0.815 8.319 0.907 0.011 0.010 8.408" Properties=species:S:1:pos:R:3 pbc="T T T"
Mg 0.408 4.159 0.454
Mg 4.179 0.005 0.454
Mg 2.024 5.577 6.395
Mg 0.607 6.161 2.855
Mg 0.929 0.843 1.034
Mg 8.256 7.496 9.189
Mg 6.191 0.010 2.855
Mg 3.043 2.763 7.529
Mg 6.143 5.577 2.694
Mg 7.161 2.763 3.828
Mg 2.179 0.010 6.460
Mg 3.439 6.862 3.828
Mg 2.775 6.161 0.907
Mg 0.006 0.005 4.204
Mg 0.220 2.168 6.460
Mg 5.746 1.477 6.395
Mg 6.399 2.168 0.907
Al 4.587 4.165 0.907
Al 4.185 0.010 4.658
Al 0.413 4.165 4.658
Sr 6.038 5.482 6.720
Sr 3.147 2.857 3.503
```

Raw total energy ... -39.051 eV for the cell shown
Spin magnetization ... 0.00 Bohr magnetons per cell

[9]
SrMg3Al2: optimized geometry, PBE.

extended XYZ file:
```
12
Lattice="-3.742 -1.483 2.263 1.418 -8.132 -2.982 5.323 4.039 6.736" Properties=species:S:1:pos:R:3 pbc="T T T"
Mg 3.494 -1.412 4.852
Mg -0.495 -4.164 1.165
Mg 1.287 -5.538 -1.500
Mg 2.316 1.371 4.726
Mg 0.683 -6.946 1.290
Mg 1.712 -0.038 7.517
Al 2.308 -4.356 0.963
Al 3.465 2.221 7.183
Al -0.466 -7.796 -1.166
Al 0.690 -1.219 5.054
Sr 1.364 -0.895 1.670
Sr 1.634 -4.681 4.347
```

Raw total energy ... -29.034 eV for the cell shown
Spin magnetization ... 0.00 Bohr magnetons per cell

[10]
SrMg2Al: optimized geometry, PBE.

extended XYZ file:
```
4
Lattice="3.678 0.000 0.000 0.000 3.677 0.000 0.000 0.000 7.952" Properties=species:S:1:pos:R:3 pbc="T T T"
Al 1.839 1.839 6.365
Sr 0.000 0.000 4.131
Mg 1.839 1.839 1.577
Mg 0.000 0.000 7.807
```

Raw total energy ... -8.759 eV for the cell shown
Spin magnetization ... 0.00 Bohr magnetons per cell

[11]
SrMg9Al3: optimized geometry, PBE.

extended XYZ file:
```
13
Lattice="-5.021 1.375 2.483 -1.657 -4.827 5.748 0.956 5.000 5.862" Properties=species:S:1:pos:R:3 pbc="T T T"
Mg -3.497 0.980 5.706
Mg 0.016 1.539 5.800
Mg -5.738 0.008 8.294
Mg -2.156 3.548 7.069
Mg -2.226 0.568 8.388
Mg -0.829 -2.413 2.874
Mg -3.567 -2.001 7.024
Mg -4.141 1.096 10.847
Mg -1.582 0.452 3.247
Al 0.478 2.500 2.931
Al -2.032 3.187 4.173
Al -3.339 -1.726 4.116
Sr 0.000 0.000 0.000
```

Raw total energy ... -28.112 eV for the cell shown
Spin magnetization ... 0.00 Bohr magnetons per cell

[12]
SrMgAl: optimized geometry, PBE.

extended XYZ file:
```
6
Lattice="4.572 0.000 0.000 0.000 4.735 0.000 0.000 0.000 8.224" Properties=species:S:1:pos:R:3 pbc="T T T"
Sr 2.286 2.367 6.873
Sr 0.000 0.000 4.107
Mg 0.000 0.000 7.859
Mg 2.286 0.000 1.513
Al 2.286 2.367 3.113
Al 0.000 2.367 1.498
```

Raw total energy ... -14.761 eV for the cell shown
Spin magnetization ... 0.00 Bohr magnetons per cell

> Which value of raw total energy does entry 3 give?

-8.431 eV for the cell shown

> The highest spin magnetization belongs to which entry?

number 1

> Among the records above, which one has the highest raw total energy?

number 1